No. 1
## Y3Tc4 (PBE)

Data for an optimized crystal structure of Y3Tc4.

final energy = -8.6610 eV/atom
V = 20.7 Å³ per atom

Unit cell a=3.1601 b=3.1601 c=28.9748 alpha=90.00 beta=90.00 gamma=90.00
With the nearest neighbours (Å) after each atom.
Space group I4/mmm (No. 139)
One atom of each set of equivalent atoms:
1 Y 0.0000 0.0000 0.0000 x2  8 Tc 3.13, 4 Y 3.16
2 Y 0.0000 0.0000 0.3066 x4  5 Tc 3.06-3.41, 4 Y 3.16
3 Tc 0.0000 0.0000 0.1212 x4  4 Tc 2.59
4 Tc 0.0000 0.0000 0.4243 x4  4 Tc 2.59

No. 2
## YTc (PBE)

Data for an optimized crystal structure of YTc.

final energy = -8.3924 eV/atom
V = 22.1 Å³ per atom

Unit cell a=3.1675 b=3.1675 c=8.8292 alpha=90.00 beta=90.00 gamma=90.00
With the nearest neighbours (Å) after each atom.
Space group P4/nmm (No. 129, origin choice 2)
One atom of each set of equivalent atoms:
1 Y 0.2500 0.2500 0.1862 x2  4 Tc 3.07, 4 Y 3.17
2 Tc 0.2500 0.2500 0.5760 x2  4 Tc 2.61

No. 3
## Y3Tc2 (PBE)

Data for an optimized crystal structure of Y3Tc2.

final energy = -7.7119 eV/atom
V = 23.7 Å³ per atom

Unit cell a=3.4435 b=3.4435 c=34.6356 alpha=90.00 beta=90.00 gamma=120.00
With the nearest neighbours (Å) after each atom.
Space group R-3m (No. 166, hexagonal axes)
One atom of each set of equivalent atoms:
1 Y 0.0000 0.0000 0.0000 x3  6 Tc 2.93
2 Y 0.0000 0.0000 0.2140 x6  3 Tc 2.81
3 Tc 0.0000 0.0000 0.3955 x6  6 Y 2.81-2.93

No. 4
## Y4Tc3 (PBE)

Data for an optimized crystal structure of Y4Tc3.

final energy = -8.0875 eV/atom
V = 23.6 Å³ per atom

Unit cell a=3.2896 b=3.2896 c=30.5639 alpha=90.00 beta=90.00 gamma=90.00
With the nearest neighbours (Å) after each atom.
Space group I4/mmm (No. 139)
One atom of each set of equivalent atoms:
1 Y 0.0000 0.0000 0.0567 x4  4 Tc 2.90
2 Y 0.0000 0.0000 0.3367 x4  5 Tc 3.08-3.29, 4 Y 3.29
3 Tc 0.0000 0.0000 0.2291 x4  4 Tc 2.65
4 Tc 0.0000 0.0000 0.5000 x2  8 Y 2.90

No. 5
## Y5Tc2 (PBE)

Data for an optimized crystal structure of Y5Tc2.

final energy = -7.6374 eV/atom
V = 26.3 Å³ per atom

Unit cell a=15.9051 b=6.2294 c=7.5054 alpha=90.00 beta=97.34 gamma=90.00
With the nearest neighbours (Å) after each atom.
Space group C2/c (No. 15)
One atom of each set of equivalent atoms:
1 Y 0.0000 0.0916 0.2500 x4  4 Tc 2.91-2.95
2 Y 0.0914 0.3817 0.9164 x8  2 Tc 2.82-2.85
3 Y 0.2164 0.0873 0.3173 x8  3 Tc 2.84-3.07
4 Tc 0.1096 0.2041 0.5772 x8  7 Y 2.82-3.07

No. 6
## YTc (PBE)

Data for an optimized crystal structure of YTc.

final energy = -8.0632 eV/atom
V = 20.2 Å³ per atom

Unit cell a=3.5066 b=5.1148 c=4.4952 alpha=90.00 beta=90.00 gamma=90.00
With the nearest neighbours (Å) after each atom.
Space group Cmmm (No. 65)
One atom of each set of equivalent atoms:
1 Y 0.0000 0.0000 0.0000 x2  4 Tc 2.85, 4 Y 3.10
2 Tc 0.0000 0.5000 0.5000 x2  4 Y 2.85, 4 Tc 3.10

No. 7
## YTc2 (PBE)

Data for an optimized crystal structure of YTc2.

final energy = -8.5902 eV/atom
V = 18.1 Å³ per atom

Unit cell a=2.8955 b=7.7889 c=4.8043 alpha=90.00 beta=90.00 gamma=90.00
With the nearest neighbours (Å) after each atom.
Space group Pnnm (No. 58)
One atom of each set of equivalent atoms:
1 Y 0.0000 0.0000 0.0000 x2  6 Tc 2.79-2.81, 2 Y 2.90
2 Tc 0.1954 0.3512 0.0000 x4  1 Tc 2.58, 3 Y 2.79-2.81

No. 8
## YTc2 (PBE)

Data for an optimized crystal structure of YTc2.

final energy = -7.5240 eV/atom
V = 22.5 Å³ per atom

Unit cell a=6.4596 b=6.4596 c=6.4596 alpha=90.00 beta=90.00 gamma=90.00
With the nearest neighbours (Å) after each atom.
Space group Pa-3 (No. 205)
One atom of each set of equivalent atoms:
1 Y 0.0000 0.0000 0.0000 x4  6 Tc 2.74
2 Tc 0.1002 0.6002 0.8998 x8  1 Tc 2.24

Calculated energy of formation from the pure elements (meV/atom), listed in the same order as above: 33, 23, 313, 49, -58, 352, 475, 1541